# 1
Tm2ScCuS5: relaxed, PBE.

```
data_Tm2ScCuS5
_chemical_formula_sum 'Tm8 Sc4 Cu4 S20'
_cell_length_a 3.7392
_cell_length_b 16.1213
_cell_length_c 11.2617
_cell_angle_alpha 90.00
_cell_angle_beta 90.00
_cell_angle_gamma 90.00
_space_group_name_H-M_alt 'C m c 21'
_space_group_IT_number 36
_space_group_name_Hall 'C 2c -2'
loop_
_atom_site_label
_atom_site_type_symbol
_atom_site_fract_x
_atom_site_fract_y
_atom_site_fract_z
Tm1 Tm 0.0000 0.1085 0.0000
Tm2 Tm 0.0000 0.1259 0.6214
Sc1 Sc 0.0000 0.1936 0.3263
Cu1 Cu 0.0000 0.4386 0.7700
S1 S 0.0000 0.0455 0.3804
S2 S 0.0000 0.2862 0.9850
S3 S 0.0000 0.3105 0.6642
S4 S 0.0000 0.3555 0.3165
S5 S 0.0000 0.4969 0.0935
```

Computed properties:
Uncorrected energy = -6.110 eV/atom

---

# 2
CuSe2S6: relaxed, PBE.

```
data_CuSe2S6
_chemical_formula_sum 'Cu1 Se2 S6'
_cell_length_a 5.3488
_cell_length_b 6.3800
_cell_length_c 7.1939
_cell_angle_alpha 104.41
_cell_angle_beta 97.27
_cell_angle_gamma 94.07
_space_group_name_H-M_alt 'P -1'
_space_group_IT_number 2
_space_group_name_Hall '-P 1'
loop_
_atom_site_label
_atom_site_type_symbol
_atom_site_fract_x
_atom_site_fract_y
_atom_site_fract_z
Cu1 Cu 0.0000 0.0000 0.0000
Se1 Se 0.2970 0.6029 0.1697
S1 S 0.0058 0.6499 0.8177
S2 S 0.3777 0.0037 0.8819
S3 S 0.4246 0.3757 0.5443
```

Computed properties:
Uncorrected energy = -3.823 eV/atom

---

# 3
Cu2SeS: relaxed, PBE.

```
data_Cu2SeS
_chemical_formula_sum 'Cu6 Se3 S3'
_cell_length_a 3.7847
_cell_length_b 3.7847
_cell_length_c 19.7919
_cell_angle_alpha 90.00
_cell_angle_beta 90.00
_cell_angle_gamma 120.00
_space_group_name_H-M_alt 'R -3 m'
_space_group_IT_number 166
_space_group_name_Hall '-R 3 2"'
loop_
_atom_site_label
_atom_site_type_symbol
_atom_site_fract_x
_atom_site_fract_y
_atom_site_fract_z
Cu1 Cu 0.0000 0.0000 0.1071
Se1 Se 0.0000 0.0000 0.5000
S1 S 0.0000 0.0000 0.0000
```

Computed properties:
Energy above the lowest structure with this stoichiometry = 345 meV per atom

---

# 4
Cu4SeS2: relaxed, PBE.

```
data_Cu4SeS2
_chemical_formula_sum 'Cu8 Se2 S4'
_cell_length_a 4.6797
_cell_length_b 4.6797
_cell_length_c 11.9178
_cell_angle_alpha 90.00
_cell_angle_beta 90.00
_cell_angle_gamma 90.00
_space_group_name_H-M_alt 'I 4/m m m'
_space_group_IT_number 139
_space_group_name_Hall '-I 4 2'
loop_
_atom_site_label
_atom_site_type_symbol
_atom_site_fract_x
_atom_site_fract_y
_atom_site_fract_z
Cu1 Cu 0.0000 0.0000 0.1977
Cu2 Cu 0.0000 0.5000 0.0000
Se1 Se 0.0000 0.0000 0.0000
S1 S 0.0000 0.0000 0.3756
```

Computed properties:
Energy above the lowest structure with this stoichiometry = 311 meV per atom

---

# 5
CuSe3S8: relaxed, PBE.

```
data_CuSe3S8
_chemical_formula_sum 'Cu1 Se3 S8'
_cell_length_a 6.9176
_cell_length_b 8.1642
_cell_length_c 8.8019
_cell_angle_alpha 117.54
_cell_angle_beta 92.59
_cell_angle_gamma 95.17
_space_group_name_H-M_alt 'P 1'
_space_group_IT_number 1
_space_group_name_Hall 'P 1'
loop_
_atom_site_label
_atom_site_type_symbol
_atom_site_fract_x
_atom_site_fract_y
_atom_site_fract_z
Cu1 Cu 0.0000 0.0000 0.0000
Se1 Se 0.1746 0.8552 0.3543
Se2 Se 0.2115 0.4179 0.6721
Se3 Se 0.5011 0.3852 0.0624
S1 S 0.0258 0.0464 0.2731
S2 S 0.2014 0.3046 0.3905
S3 S 0.4790 0.8613 0.2958
S4 S 0.5080 0.6538 0.0520
S5 S 0.8059 0.3831 0.1601
S6 S 0.9280 0.7790 0.7342
S7 S 0.9300 0.5402 0.7501
S8 S 0.9631 0.2471 0.9603
```

Computed properties:
Uncorrected energy = -3.872 eV/atom

---

# 6
Cu8Se3S3: relaxed, PBE.

```
data_Cu8Se3S3
_chemical_formula_sum 'Cu24 Se9 S9'
_cell_length_a 7.0231
_cell_length_b 7.0231
_cell_length_c 17.5145
_cell_angle_alpha 90.00
_cell_angle_beta 90.00
_cell_angle_gamma 120.00
_space_group_name_H-M_alt 'R -3 m'
_space_group_IT_number 166
_space_group_name_Hall '-R 3 2"'
loop_
_atom_site_label
_atom_site_type_symbol
_atom_site_fract_x
_atom_site_fract_y
_atom_site_fract_z
Cu1 Cu 0.0000 0.0000 0.2485
Cu2 Cu 0.0197 0.5099 0.7444
Se1 Se 0.0000 0.5000 0.5000
S1 S 0.0000 0.0000 0.0000
S2 S 0.0000 0.0000 0.3759
```

Computed properties:
Uncorrected energy = -4.071 eV/atom

---

# 7
CuSe3S: relaxed, PBE.

```
data_CuSe3S
_chemical_formula_sum 'Cu1 Se3 S1'
_cell_length_a 4.8403
_cell_length_b 4.8403
_cell_length_c 4.8403
_cell_angle_alpha 90.00
_cell_angle_beta 90.00
_cell_angle_gamma 90.00
_space_group_name_H-M_alt 'P m -3 m'
_space_group_IT_number 221
_space_group_name_Hall '-P 4 2 3'
loop_
_atom_site_label
_atom_site_type_symbol
_atom_site_fract_x
_atom_site_fract_y
_atom_site_fract_z
Cu1 Cu 0.0000 0.0000 0.0000
Se1 Se 0.0000 0.5000 0.5000
S1 S 0.5000 0.5000 0.5000
```

Computed properties:
Energy above the lowest structure with this stoichiometry = 20 meV per atom

---

# 8
Cu3SeS2: relaxed, PBE.

```
data_Cu3SeS2
_chemical_formula_sum 'Cu12 Se4 S8'
_cell_length_a 19.4114
_cell_length_b 3.8528
_cell_length_c 5.9999
_cell_angle_alpha 90.00
_cell_angle_beta 99.51
_cell_angle_gamma 90.00
_space_group_name_H-M_alt 'C 1 2/m 1'
_space_group_IT_number 12
_space_group_name_Hall '-C 2y'
loop_
_atom_site_label
_atom_site_type_symbol
_atom_site_fract_x
_atom_site_fract_y
_atom_site_fract_z
Cu1 Cu 0.0566 0.0000 0.4080
Cu2 Cu 0.1072 0.5000 0.9046
Cu3 Cu 0.2306 0.5000 0.1745
Se1 Se 0.1217 0.5000 0.3173
S1 S 0.0528 0.0000 0.7886
S2 S 0.2097 0.5000 0.7647
```

Computed properties:
Uncorrected energy = -4.109 eV/atom

---

# 9
Cu4Se3S: relaxed, PBE.

```
data_Cu4Se3S
_chemical_formula_sum 'Cu8 Se6 S2'
_cell_length_a 7.5822
_cell_length_b 6.4907
_cell_length_c 6.4917
_cell_angle_alpha 90.00
_cell_angle_beta 90.00
_cell_angle_gamma 90.00
_space_group_name_H-M_alt 'P m n 21'
_space_group_IT_number 31
_space_group_name_Hall 'P 2ac -2'
loop_
_atom_site_label
_atom_site_type_symbol
_atom_site_fract_x
_atom_site_fract_y
_atom_site_fract_z
Cu1 Cu 0.0000 0.1487 0.0000
Cu2 Cu 0.0000 0.8334 0.4777
Cu3 Cu 0.2393 0.6747 0.9986
Se1 Se 0.0000 0.1666 0.6331
Se2 Se 0.2502 0.3317 0.1326
S1 S 0.0000 0.8290 0.1330
```

Computed properties:
Uncorrected energy = -4.003 eV/atom

---

# 10
Cu2SeS: relaxed, PBE.

```
data_Cu2SeS
_chemical_formula_sum 'Cu8 Se4 S4'
_cell_length_a 6.2769
_cell_length_b 6.2769
_cell_length_c 6.2769
_cell_angle_alpha 90.00
_cell_angle_beta 90.00
_cell_angle_gamma 90.00
_space_group_name_H-M_alt 'F m -3 m'
_space_group_IT_number 225
_space_group_name_Hall '-F 4 2 3'
loop_
_atom_site_label
_atom_site_type_symbol
_atom_site_fract_x
_atom_site_fract_y
_atom_site_fract_z
Cu1 Cu 0.2500 0.2500 0.2500
Se1 Se 0.0000 0.0000 0.0000
S1 S 0.0000 0.0000 0.5000
```

Computed properties:
Energy above the lowest structure with this stoichiometry = 531 meV per atom

---

# 11
Cu4Se5S: relaxed, PBE.

```
data_Cu4Se5S
_chemical_formula_sum 'Cu8 Se10 S2'
_cell_length_a 7.6947
_cell_length_b 8.0291
_cell_length_c 6.3731
_cell_angle_alpha 90.00
_cell_angle_beta 90.00
_cell_angle_gamma 90.00
_space_group_name_H-M_alt 'P m m n'
_space_group_IT_number 59
loop_
_space_group_symop_operation_xyz
'x,y,z'
'-x,-y,-z'
'-x+1/2,-y+1/2,z'
'x+1/2,y+1/2,-z'
'x+1/2,-y,-z'
'-x+1/2,y,z'
'-x,y+1/2,-z'
'x,-y+1/2,z'
loop_
_atom_site_label
_atom_site_type_symbol
_atom_site_fract_x
_atom_site_fract_y
_atom_site_fract_z
Cu1 Cu 0.0116 0.2500 0.0844
Cu2 Cu 0.2500 0.0072 0.4921
Se1 Se 0.0023 0.1002 0.7402
Se2 Se 0.2500 0.7500 0.7106
S1 S 0.2500 0.2500 0.2889
```

Computed properties:
Uncorrected energy = -3.868 eV/atom

---

# 12
CuSe2S: relaxed, PBE.

```
data_CuSe2S
_chemical_formula_sum 'Cu3 Se6 S3'
_cell_length_a 3.7753
_cell_length_b 3.7753
_cell_length_c 21.4771
_cell_angle_alpha 90.00
_cell_angle_beta 90.00
_cell_angle_gamma 120.00
_space_group_name_H-M_alt 'R -3 m'
_space_group_IT_number 166
_space_group_name_Hall '-R 3 2"'
loop_
_atom_site_label
_atom_site_type_symbol
_atom_site_fract_x
_atom_site_fract_y
_atom_site_fract_z
Cu1 Cu 0.0000 0.0000 0.0000
Se1 Se 0.0000 0.0000 0.3923
S1 S 0.0000 0.0000 0.5000
```

Computed properties:
Uncorrected energy = -3.637 eV/atom

---

The following DOS(E_F) values (in states/eV per atom) correspond, in order, to the records above: 0.01 0.41 0.85 0.98 0.31 0.37 0.74 0.69 0.80 0.73 0.50 0.60.